A relaxed structure of CaTl2HgBi2. Source: the Alexandria database, functional PBE.

Lattice parameters (Å, degrees): 4.809 10.237 7.920 90.00 90.00 90.00
Element x y z (fractional)
Ca  0.000  0.040  0.000
Ca  0.000  0.960  0.500
Tl  0.000  0.346  0.369
Tl  0.000  0.654  0.869
Tl  0.500  0.410  0.054
Tl  0.500  0.590  0.554
Hg  0.500  0.163  0.682
Hg  0.500  0.837  0.182
Bi  0.000  0.323  0.778
Bi  0.000  0.677  0.278
Bi  0.500  0.126  0.277
Bi  0.500  0.874  0.777

Calculated values
energy relative to the elements: -261 meV per atom
N(E_F): 1.44 states/eV/f.u.
total moment: 0.00 μB per formula unit
E: -2.727 eV/atom

=====

A relaxed structure of CaTlHgBi. Source: the Alexandria database, functional PBE.

Lattice parameters (Å, degrees): 5.584 5.584 5.584 60.00 60.00 60.00
Element x y z (fractional)
Ca  0.000  0.000  0.000
Tl  0.500  0.500  0.500
Hg  0.250  0.250  0.250
Bi  0.750  0.750  0.750

Calculated values
energy relative to the elements: -381 meV per atom
N(E_F): 0.25 states/eV/f.u.
total moment: 0.00 μB per formula unit
E: -2.518 eV/atom

=====

A relaxed structure of CaY2HgBi. Source: the Alexandria database, functional PBE.

Lattice parameters (Å, degrees): 5.815 5.815 5.625 90.00 90.00 90.00
Element x y z (fractional)
Ca  0.000  0.000  0.000
Y  0.000  0.500  0.000
Y  0.500  0.000  0.000
Hg  0.500  0.500  0.500
Bi  0.000  0.000  0.500

Calculated values
energy relative to the elements: 687 meV per atom
N(E_F): 6.77 states/eV/f.u.
total moment: 0.00 μB per formula unit
E: -3.136 eV/atom

=====

A relaxed structure of CaHo2Bi. Source: the Alexandria database, functional PBE.

Lattice parameters (Å, degrees): 12.481 12.481 12.481 16.51 16.51 16.51
Element x y z (fractional)
Ca  0.000  0.000  0.000
Ho  0.416  0.416  0.416
Ho  0.584  0.584  0.584
Bi  0.500  0.500  0.500

Calculated values
energy relative to the elements: 103 meV per atom
N(E_F): 5.04 states/eV/f.u.
total moment: 0.00 μB per formula unit
E: -3.656 eV/atom

=====

A relaxed structure of CaHo5Bi6. Source: the Alexandria database, functional PBE.

Lattice parameters (Å, degrees): 7.772 7.772 7.773 99.59 99.59 120.04
Element x y z (fractional)
Ca  0.000  0.000  0.000
Ho  0.164  0.836  0.500
Ho  0.332  0.668  0.000
Ho  0.500  0.500  0.500
Ho  0.668  0.332  0.000
Ho  0.836  0.164  0.500
Bi  0.085  0.423  0.253
Bi  0.255  0.255  0.749
Bi  0.423  0.085  0.253
Bi  0.577  0.915  0.747
Bi  0.745  0.745  0.251
Bi  0.915  0.577  0.747

Calculated values
energy relative to the elements: -812 meV per atom
N(E_F): 3.04 states/eV/f.u.
total moment: 0.00 μB per formula unit
E: -4.827 eV/atom

=====

A relaxed structure of CaHoBi2. Source: the Alexandria database, functional PBE.

Lattice parameters (Å, degrees): 7.671 7.671 7.671 35.56 35.56 35.56
Element x y z (fractional)
Ca  0.000  0.000  0.000
Ho  0.173  0.173  0.173
Bi  0.422  0.422  0.422
Bi  0.583  0.583  0.583

Calculated values
energy relative to the elements: -646 meV per atom
relative energy among the computed polymorphs: 80 meV per atom
N(E_F): 3.57 states/eV/f.u.
total moment: 0.00 μB per formula unit
E: -4.232 eV/atom

=====

A relaxed structure of CaHoBi2. Source: the Alexandria database, functional PBE.

Lattice parameters (Å, degrees): 8.232 8.232 8.232 31.11 31.11 31.11
Element x y z (fractional)
Ca  0.000  0.000  0.000
Ho  0.500  0.500  0.500
Bi  0.246  0.246  0.246
Bi  0.754  0.754  0.754

Calculated values
energy relative to the elements: -726 meV per atom
relative energy among the computed polymorphs: 0 meV per atom
N(E_F): 2.08 states/eV/f.u.
total moment: 0.00 μB per formula unit
E: -4.312 eV/atom

=====

A relaxed structure of Ca5HoBi5. Source: the Alexandria database, functional PBE.

Lattice parameters (Å, degrees): 8.183 8.183 8.984 106.42 106.42 45.93
Element x y z (fractional)
Ca  0.000  0.000  0.000
Ca  0.316  0.316  0.177
Ca  0.321  0.321  0.644
Ca  0.679  0.679  0.356
Ca  0.684  0.684  0.823
Ho  0.000  0.000  0.500
Bi  0.151  0.151  0.327
Bi  0.161  0.161  0.830
Bi  0.500  0.500  0.500
Bi  0.839  0.839  0.170
Bi  0.849  0.849  0.673

Calculated values
energy relative to the elements: -666 meV per atom
N(E_F): 8.64 states/eV/f.u.
total moment: 0.00 μB per formula unit
E: -3.756 eV/atom

=====

A relaxed structure of CaHoBi2. Source: the Alexandria database, functional PBE.

Lattice parameters (Å, degrees): 5.881 5.881 3.466 90.00 90.00 90.00
Element x y z (fractional)
Ca  0.000  0.000  0.000
Ho  0.500  0.500  0.000
Bi  0.000  0.500  0.500
Bi  0.500  0.000  0.500

Calculated values
energy relative to the elements: -647 meV per atom
relative energy among the computed polymorphs: 80 meV per atom
N(E_F): 2.19 states/eV/f.u.
total moment: 0.11 μB per formula unit
E: -4.232 eV/atom

=====

A relaxed structure of CaHoBi2. Source: the Alexandria database, functional PBE.

Lattice parameters (Å, degrees): 4.123 4.123 7.100 90.00 90.00 90.00
Element x y z (fractional)
Ca  0.000  0.000  0.000
Ho  0.000  0.000  0.500
Bi  0.500  0.500  0.261
Bi  0.500  0.500  0.739

Calculated values
energy relative to the elements: -640 meV per atom
relative energy among the computed polymorphs: 86 meV per atom
N(E_F): 2.81 states/eV/f.u.
total moment: 0.00 μB per formula unit
E: -4.225 eV/atom

=====

A relaxed structure of CaHoBi2. Source: the Alexandria database, functional PBE.

Lattice parameters (Å, degrees): 5.557 5.557 5.557 60.00 60.00 60.00
Element x y z (fractional)
Ca  0.000  0.000  0.000
Ho  0.500  0.500  0.500
Bi  0.250  0.250  0.250
Bi  0.750  0.750  0.750

Calculated values
energy relative to the elements: -613 meV per atom
relative energy among the computed polymorphs: 113 meV per atom
N(E_F): 2.58 states/eV/f.u.
total moment: 0.00 μB per formula unit
E: -4.198 eV/atom

=====

A relaxed structure of CaLa2HoBi4. Source: the Alexandria database, functional PBE.

Lattice parameters (Å, degrees): 7.888 4.651 8.104 90.00 109.77 90.00
Element x y z (fractional)
Ca  0.000  0.000  0.000
La  0.500  0.000  0.500
La  0.500  0.500  0.000
Ho  0.000  0.500  0.500
Bi  0.238  0.000  0.742
Bi  0.242  0.500  0.253
Bi  0.758  0.500  0.747
Bi  0.762  0.000  0.258

Calculated values
energy relative to the elements: -880 meV per atom
N(E_F): 5.04 states/eV/f.u.
total moment: 0.00 μB per formula unit
E: -4.875 eV/atom